(1)
YPdI2 | PBE | optimized geometry

The value obtained for the polymorph energy (0 for the lowest one) is 149 meV per atom. As for the symmetry: No. 122. The uncorrected formation energy comes out at -352 meV/atom.

Unit cell a=7.736 b=7.736 c=7.736 alpha=127.41 beta=127.41 gamma=77.58
Atoms (fractional coordinates):
1 Y 0.000 0.000 0.000
2 Y 0.750 0.250 0.500
3 Pd 0.250 0.750 0.500
4 Pd 0.500 0.500 0.000
5 I 0.158 0.625 0.033
6 I 0.375 0.408 0.533
7 I 0.592 0.125 0.967
8 I 0.875 0.842 0.467

(2)
Er2Ni12P3Ir | PBE | optimized geometry

The calculated formation energy is 0.47 eV/f.u. As for the symmetry: No. 166.

Unit cell a=7.065 b=7.065 c=7.065 alpha=64.90 beta=64.90 gamma=64.90
Atoms (fractional coordinates):
1 Er 0.105 0.105 0.105
2 Er 0.895 0.895 0.895
3 Ni 0.114 0.634 0.634
4 Ni 0.154 0.154 0.603
5 Ni 0.154 0.603 0.154
6 Ni 0.366 0.366 0.886
7 Ni 0.366 0.886 0.366
8 Ni 0.397 0.846 0.846
9 Ni 0.603 0.154 0.154
10 Ni 0.634 0.114 0.634
11 Ni 0.634 0.634 0.114
12 Ni 0.846 0.397 0.846
13 Ni 0.846 0.846 0.397
14 Ni 0.886 0.366 0.366
15 P 0.000 0.500 0.500
16 P 0.500 0.000 0.500
17 P 0.500 0.500 0.000
18 Ir 0.500 0.500 0.500

(3)
Mg8Zn3Hg2 | PBE | optimized geometry

The calculated formation energy is -0.85 eV/f.u. As for the symmetry: No. 65.

Unit cell a=8.318 b=8.318 c=4.523 alpha=90.00 beta=90.00 gamma=113.57
Atoms (fractional coordinates):
1 Mg 0.114 0.886 0.000
2 Mg 0.126 0.376 0.500
3 Mg 0.369 0.631 0.000
4 Mg 0.376 0.126 0.500
5 Mg 0.624 0.874 0.500
6 Mg 0.631 0.369 0.000
7 Mg 0.874 0.624 0.500
8 Mg 0.886 0.114 0.000
9 Zn 0.262 0.262 0.000
10 Zn 0.500 0.500 0.500
11 Zn 0.738 0.738 0.000
12 Hg 0.244 0.756 0.500
13 Hg 0.756 0.244 0.500

(4)
BaMg2Pb | PBE | optimized geometry

The calculated formation energy is -0.64 eV/f.u. As for the symmetry: No. 6.

Unit cell a=3.792 b=4.849 c=7.418 alpha=90.00 beta=104.63 gamma=90.00
Atoms (fractional coordinates):
1 Ba 0.000 0.000 0.000
2 Mg 0.251 0.000 0.507
3 Mg 0.688 0.500 0.374
4 Pb 0.374 0.500 0.743